No. 1
The following is a PBE calculation of a relaxed Mg2AsPIr crystal, from Alexandria.

Unit cell a=4.8158 b=4.4020 c=4.8158 alpha=90.00 beta=90.00 gamma=90.00
Fractional positions:
Mg 0.5000 0.0000 0.0000
Mg 0.0000 0.0000 0.5000
As 0.5000 0.5000 0.5000
Ir 0.0000 0.5000 0.0000
P 0.0000 0.0000 0.0000

As for the symmetry: P4/mmm, No. 123. The calculation puts the energy of formation from the pure elements at 0.09 eV per atom. As for the density: 5640 kg/m³.

***

No. 2
The following is a PBE calculation of a relaxed La4CuSiI2 crystal, from Alexandria.

Unit cell a=4.3156 b=7.7820 c=8.1028 alpha=107.24 beta=90.00 gamma=90.00
Fractional positions:
I 0.5000 0.0000 0.5000
I 0.0000 0.5000 0.5000
La 0.5000 0.2303 0.2078
La 0.0000 0.2685 0.7977
La 0.5000 0.7697 0.7922
La 0.0000 0.7315 0.2023
Cu 0.5000 0.5000 0.0000
Si 0.0000 0.0000 0.0000

As for the symmetry: P2/m, No. 10. The formation energy without anion corrections is -0.77 eV/atom. As for the density: 5757 kg/m³.

***

No. 3
The following is a PBE calculation of a relaxed Lu5Ge crystal, from Alexandria.

Unit cell a=4.7071 b=4.6193 c=7.5209 alpha=107.88 beta=90.00 gamma=90.00
Fractional positions:
Lu 0.5000 0.1679 0.3359
Lu 0.0000 0.6585 0.3170
Lu 0.5000 0.8321 0.6641
Lu 0.5000 0.5000 0.0000
Lu 0.0000 0.3415 0.6830
Ge 0.0000 0.0000 0.0000

As for the symmetry: Cmmm, No. 65. The calculation puts the energy of formation from the pure elements at -0.18 eV per atom. As for the density: 10109 kg/m³.

***

No. 4
The following is a PBE calculation of a relaxed FeAsP2Cl crystal, from Alexandria.

Unit cell a=4.3370 b=4.3370 c=4.6828 alpha=90.00 beta=90.00 gamma=90.00
Fractional positions:
As 0.5000 0.5000 0.5000
Cl 0.0000 0.0000 0.5000
P 0.0000 0.5000 0.0000
P 0.5000 0.0000 0.0000
Fe 0.0000 0.0000 0.0000

As for the symmetry: P4/mmm, No. 123. The calculation puts the polymorph energy (0 for the lowest one) at 0.0000 eV per atom. The formation energy without anion corrections is 0.54 eV/atom. As for the density: 4302 kg/m³.

***

No. 5
The following is a PBE calculation of a relaxed Nd2ErZr crystal, from Alexandria.

Unit cell a=5.5462 b=5.5462 c=5.5462 alpha=60.00 beta=60.00 gamma=60.00
Each line ends with the local moment (μB).
Fractional positions:
Nd 0.7500 0.7500 0.7500  0.09
Nd 0.2500 0.2500 0.2500  0.09
Er 0.0000 0.0000 0.0000  -0.01
Zr 0.5000 0.5000 0.5000  0.47

As for the symmetry: Fm-3m, No. 225. The calculation puts the polymorph energy (0 for the lowest one) at 0.0901 eV per atom. The calculation puts the energy of formation from the pure elements at 0.21 eV per atom. As for the density: 7529 kg/m³.

***

No. 6
The following is a PBE calculation of a relaxed LiSc2SbPb crystal, from Alexandria.

Unit cell a=5.0198 b=4.6144 c=5.0198 alpha=90.00 beta=90.00 gamma=90.00
Fractional positions:
Pb 0.5000 0.5000 0.5000
Sb 0.0000 0.5000 0.0000
Sc 0.5000 0.0000 0.0000
Sc 0.0000 0.0000 0.5000
Li 0.0000 0.0000 0.0000

As for the symmetry: P4/mmm, No. 123. The formation energy without anion corrections is 0.05 eV/atom. As for the density: 6081 kg/m³.

***

| no. | calculated volume (Å³/atom) | M_tot (μB per formula unit) |
| --- | --- | --- |
| 1 | 20.42 | 0.0 |
| 2 | 32.49 | 0.0 |
| 3 | 25.94 | 0.0 |
| 4 | 17.62 | 0.0 |
| 5 | 30.16 | 1.1 |
| 6 | 23.26 | 0.0 |